Entry 1:
# CsYPb2Cl8 (GGA-PBE, optimized geometry)
data_CsYPb2Cl8
_symmetry_space_group_name_H-M 'P -1'
_symmetry_Int_Tables_number 2
_cell_length_a 6.641
_cell_length_b 6.917
_cell_length_c 9.300
_cell_angle_alpha 86.09
_cell_angle_beta 86.15
_cell_angle_gamma 88.01
loop_
_symmetry_equiv_pos_as_xyz
'x,y,z'
'-x,-y,-z'
loop_
_atom_site_label
_atom_site_type_symbol
_atom_site_fract_x
_atom_site_fract_y
_atom_site_fract_z
Cs1 Cs 0.000 0.000 0.000
Y1 Y 0.000 0.000 0.500
Pb1 Pb 0.491 0.495 0.250
Cl1 Cl 0.232 0.837 0.699
Cl2 Cl 0.239 0.311 0.485
Cl3 Cl 0.241 0.845 0.296
Cl4 Cl 0.271 0.396 0.030
# DOS(E_F): 0.00 states/eV/f.u.
# Formation energy without anion corrections: -1653 meV per atom
# Total magnetic moment: 0.00 μB/cell

***

Entry 2:
# Th5ReSe5 (GGA-PBE, optimized geometry)
data_Th5ReSe5
_symmetry_space_group_name_H-M 'C 1 2/m 1'
_symmetry_Int_Tables_number 12
_cell_length_a 13.433
_cell_length_b 5.986
_cell_length_c 8.420
_cell_angle_alpha 90.00
_cell_angle_beta 108.67
_cell_angle_gamma 90.00
loop_
_symmetry_equiv_pos_as_xyz
'x,y,z'
'-x,-y,-z'
'-x,y,-z'
'x,-y,z'
'x+1/2,y+1/2,z'
'-x+1/2,-y+1/2,-z'
'-x+1/2,y+1/2,-z'
'x+1/2,-y+1/2,z'
loop_
_atom_site_label
_atom_site_type_symbol
_atom_site_fract_x
_atom_site_fract_y
_atom_site_fract_z
Th1 Th 0.000 0.000 0.000
Th2 Th 0.156 0.500 0.314
Th3 Th 0.156 0.500 0.841
Re1 Re 0.000 0.500 0.000
Se1 Se 0.000 0.500 0.500
Se2 Se 0.163 0.000 0.823
Se3 Se 0.177 0.000 0.338
# DOS(E_F): 9.83 states/eV/f.u.
# Formation energy without anion corrections: -1319 meV per atom
# Total magnetic moment: 0.00 μB/cell

***

Entry 3:
# TaTlH3 (GGA-PBE, optimized geometry)
data_TaTlH3
_symmetry_space_group_name_H-M 'P m -3 m'
_symmetry_Int_Tables_number 221
_symmetry_space_group_name_Hall '-P 4 2 3'
_cell_length_a 3.844
_cell_length_b 3.844
_cell_length_c 3.844
_cell_angle_alpha 90.00
_cell_angle_beta 90.00
_cell_angle_gamma 90.00
loop_
_atom_site_label
_atom_site_type_symbol
_atom_site_fract_x
_atom_site_fract_y
_atom_site_fract_z
Ta1 Ta 0.000 0.000 0.000
Tl1 Tl 0.500 0.500 0.500
H1 H 0.000 0.500 0.500
# DOS(E_F): 2.82 states/eV/f.u.
# Total magnetic moment: 0.62 μB/cell

***

Entry 4:
# AcPmPuTl (GGA-PBE, optimized geometry)
data_AcPmPuTl
_symmetry_space_group_name_H-M 'F -4 3 m'
_symmetry_Int_Tables_number 216
_symmetry_space_group_name_Hall 'F -4 2 3'
_cell_length_a 7.992
_cell_length_b 7.992
_cell_length_c 7.992
_cell_angle_alpha 90.00
_cell_angle_beta 90.00
_cell_angle_gamma 90.00
loop_
_atom_site_label
_atom_site_type_symbol
_atom_site_fract_x
_atom_site_fract_y
_atom_site_fract_z
Ac1 Ac 0.000 0.000 0.000
Pm1 Pm 0.250 0.250 0.250
Pu1 Pu 0.250 0.250 0.750
Tl1 Tl 0.000 0.000 0.500
# DOS(E_F): 13.65 states/eV/f.u.
# Formation enthalpy at 0 K: 140 meV/atom
# Total magnetic moment: 27.96 μB/cell

***

Entry 5:
# LaErAs (GGA-PBE, optimized geometry)
data_LaErAs
_symmetry_space_group_name_H-M 'P n m a'
_symmetry_Int_Tables_number 62
_cell_length_a 7.232
_cell_length_b 4.082
_cell_length_c 11.570
_cell_angle_alpha 90.00
_cell_angle_beta 90.00
_cell_angle_gamma 90.00
loop_
_symmetry_equiv_pos_as_xyz
'x,y,z'
'-x,-y,-z'
'-x+1/2,-y,z+1/2'
'x+1/2,y,-z+1/2'
'x+1/2,-y+1/2,-z+1/2'
'-x+1/2,y+1/2,z+1/2'
'-x,y+1/2,-z'
'x,-y+1/2,z'
loop_
_atom_site_label
_atom_site_type_symbol
_atom_site_fract_x
_atom_site_fract_y
_atom_site_fract_z
La1 La 0.214 0.250 0.040
Er1 Er 0.040 0.750 0.270
As1 As 0.184 0.750 0.833
# DOS(E_F): 2.88 states/eV/f.u.
# Formation enthalpy at 0 K: -978 meV/atom
# Total magnetic moment: 0.01 μB/cell

***

Entry 6:
# CeZr4Tl5 (GGA-PBE, optimized geometry)
data_CeZr4Tl5
_symmetry_space_group_name_H-M 'P 4/m m m'
_symmetry_Int_Tables_number 123
_symmetry_space_group_name_Hall '-P 4 2'
_cell_length_a 3.840
_cell_length_b 3.840
_cell_length_c 16.541
_cell_angle_alpha 90.00
_cell_angle_beta 90.00
_cell_angle_gamma 90.00
loop_
_atom_site_label
_atom_site_type_symbol
_atom_site_fract_x
_atom_site_fract_y
_atom_site_fract_z
Ce1 Ce 0.000 0.000 0.000
Zr1 Zr 0.000 0.000 0.217
Zr2 Zr 0.000 0.000 0.403
Tl1 Tl 0.500 0.500 0.117
Tl2 Tl 0.500 0.500 0.309
Tl3 Tl 0.500 0.500 0.500
# DOS(E_F): 14.06 states/eV/f.u.
# Formation enthalpy at 0 K: -34 meV/atom
# Total magnetic moment: 1.39 μB/cell

***

Entry 7:
# TbZnGaPd3 (GGA-PBE, optimized geometry)
data_TbZnGaPd3
_symmetry_space_group_name_H-M 'C m c m'
_symmetry_Int_Tables_number 63
_symmetry_space_group_name_Hall '-C 2c 2'
_cell_length_a 6.495
_cell_length_b 12.097
_cell_length_c 5.723
_cell_angle_alpha 90.00
_cell_angle_beta 90.00
_cell_angle_gamma 90.00
loop_
_atom_site_label
_atom_site_type_symbol
_atom_site_fract_x
_atom_site_fract_y
_atom_site_fract_z
Tb1 Tb 0.000 0.194 0.250
Zn1 Zn 0.000 0.434 0.250
Ga1 Ga 0.000 0.137 0.750
Pd1 Pd 0.000 0.341 0.750
Pd2 Pd 0.211 0.000 0.000
# DOS(E_F): 3.21 states/eV/f.u.
# Formation enthalpy at 0 K: -542 meV/atom
# Total magnetic moment: 0.00 μB/cell

***

Entry 8:
# Ga8CuIr2 (GGA-PBE, optimized geometry)
data_Ga8CuIr2
_symmetry_space_group_name_H-M 'C 1 2/m 1'
_symmetry_Int_Tables_number 12
_cell_length_a 11.140
_cell_length_b 7.201
_cell_length_c 5.000
_cell_angle_alpha 90.00
_cell_angle_beta 101.37
_cell_angle_gamma 90.00
loop_
_symmetry_equiv_pos_as_xyz
'x,y,z'
'-x,-y,-z'
'-x,y,-z'
'x,-y,z'
'x+1/2,y+1/2,z'
'-x+1/2,-y+1/2,-z'
'-x+1/2,y+1/2,-z'
'x+1/2,-y+1/2,z'
loop_
_atom_site_label
_atom_site_type_symbol
_atom_site_fract_x
_atom_site_fract_y
_atom_site_fract_z
Ga1 Ga 0.080 0.000 0.344
Ga2 Ga 0.103 0.217 0.882
Ga3 Ga 0.191 0.500 0.314
Cu1 Cu 0.000 0.500 0.500
Ir1 Ir 0.222 0.500 0.829
# DOS(E_F): 3.76 states/eV/f.u.
# Formation enthalpy at 0 K: -163 meV/atom
# Total magnetic moment: 0.00 μB/cell

***

Entry 9:
# TbTl4Pd15 (GGA-PBE, optimized geometry)
data_TbTl4Pd15
_symmetry_space_group_name_H-M 'P 4/m m m'
_symmetry_Int_Tables_number 123
_symmetry_space_group_name_Hall '-P 4 2'
_cell_length_a 4.099
_cell_length_b 4.099
_cell_length_c 20.455
_cell_angle_alpha 90.00
_cell_angle_beta 90.00
_cell_angle_gamma 90.00
loop_
_atom_site_label
_atom_site_type_symbol
_atom_site_fract_x
_atom_site_fract_y
_atom_site_fract_z
Tb1 Tb 0.000 0.000 0.000
Tl1 Tl 0.000 0.000 0.203
Tl2 Tl 0.000 0.000 0.400
Pd1 Pd 0.000 0.500 0.102
Pd2 Pd 0.000 0.500 0.301
Pd3 Pd 0.000 0.500 0.500
Pd4 Pd 0.500 0.500 0.000
Pd5 Pd 0.500 0.500 0.200
Pd6 Pd 0.500 0.500 0.401
# DOS(E_F): 20.36 states/eV/f.u.
# Formation enthalpy at 0 K: -323 meV/atom
# Total magnetic moment: 0.00 μB/cell

***

Entry 10:
# FeNiS2N (GGA-PBE, optimized geometry)
data_FeNiS2N
_symmetry_space_group_name_H-M 'P 4/m m m'
_symmetry_Int_Tables_number 123
_symmetry_space_group_name_Hall '-P 4 2'
_cell_length_a 4.564
_cell_length_b 4.564
_cell_length_c 3.340
_cell_angle_alpha 90.00
_cell_angle_beta 90.00
_cell_angle_gamma 90.00
loop_
_atom_site_label
_atom_site_type_symbol
_atom_site_fract_x
_atom_site_fract_y
_atom_site_fract_z
Fe1 Fe 0.000 0.000 0.000
Ni1 Ni 0.500 0.500 0.500
S1 S 0.000 0.500 0.000
N1 N 0.000 0.000 0.500
# DOS(E_F): 4.04 states/eV/f.u.
# Formation energy without anion corrections: 593 meV per atom
# Total magnetic moment: 0.29 μB/cell

***

Entry 11:
# Na3CuO2 (GGA-PBE, optimized geometry)
data_Na3CuO2
_symmetry_space_group_name_H-M 'P 41 21 2'
_symmetry_Int_Tables_number 92
_cell_length_a 7.846
_cell_length_b 7.846
_cell_length_c 11.691
_cell_angle_alpha 90.00
_cell_angle_beta 90.00
_cell_angle_gamma 90.00
loop_
_symmetry_equiv_pos_as_xyz
'x,y,z'
'-y+1/2,x+1/2,z+1/4'
'-x,-y,z+1/2'
'y+1/2,-x+1/2,z+3/4'
'x+1/2,-y+1/2,-z+3/4'
'-y,-x,-z+1/2'
'-x+1/2,y+1/2,-z+1/4'
'y,x,-z'
loop_
_atom_site_label
_atom_site_type_symbol
_atom_site_fract_x
_atom_site_fract_y
_atom_site_fract_z
Na1 Na 0.016 0.016 0.000
Na2 Na 0.026 0.446 0.002
Na3 Na 0.047 0.953 0.250
Na4 Na 0.152 0.736 0.858
Cu1 Cu 0.236 0.238 0.156
O1 O 0.006 0.240 0.161
O2 O 0.034 0.735 0.088
# Formation energy without anion corrections: -1112 meV per atom
# Total magnetic moment: 0.00 μB/cell

***

For the records above, the corresponding raw total energy values read -49.35 -162.96 -17.08 -100.00 -68.29 -52.30 -111.05 -95.64 -98.45 -27.86 -197.13 eV/cell.